# BaFeAs2

Crystalline BaFeAs2 at its relaxed geometry (GGA-PBE, the Alexandria database).

Summary:
The calculation puts the density of states at the Fermi level at 3.50 states/eV/f.u. The value obtained for the formation enthalpy at 0 K is 0.007 eV/atom.

Unit cell a=3.5656 b=3.5656 c=7.4640 alpha=90.00 beta=90.00 gamma=90.00
Space group P4mm (No. 99)
One atom of each set of equivalent atoms:
Ba  0.0000  0.0000  0.0000 (multiplicity 1)
Fe  0.5000  0.5000  0.4026 (multiplicity 1)
As  0.0000  0.0000  0.4437 (multiplicity 1)
As  0.5000  0.5000  0.7179 (multiplicity 1)